# 1
First-principles (meta-GGA SCAN) data for a crystal of TcSb2Ir relaxed with PBEsol, as listed in Alexandria.

a = 4.620 Å, b = 4.620 Å, c = 4.620 Å
α = 60.00°, β = 60.00°, γ = 60.00°
Fractional positions:
Tc1 0.000 0.000 0.000
Sb1 0.250 0.250 0.250
Sb2 0.750 0.750 0.750
Ir1 0.500 0.500 0.500

Output
Raw formation energy   7.8 kcal/mol of atoms
Space group   Fm-3m, No. 225
E above lowest polymorph   0 meV/atom

# 2
First-principles (meta-GGA SCAN) data for a crystal of Tc2Sb2Ir relaxed with PBEsol, as listed in Alexandria.

a = 6.434 Å, b = 6.434 Å, c = 6.434 Å
α = 143.53°, β = 143.53°, γ = 52.53°
Fractional positions:
Tc1 0.099 0.099 0.000
Tc2 0.901 0.901 0.000
Sb1 0.250 0.750 0.500
Sb2 0.750 0.250 0.500
Ir1 0.500 0.500 0.000

Output
Raw formation energy   20.3 kcal/mol of atoms
Space group   I4/mmm, No. 139

# 3
First-principles (meta-GGA SCAN) data for a crystal of Tc2SbIr relaxed with PBEsol, as listed in Alexandria.

a = 2.888 Å, b = 3.837 Å, c = 5.575 Å
α = 90.00°, β = 90.00°, γ = 90.00°
Fractional positions:
Tc1 0.000 0.000 0.000
Tc2 0.500 0.500 0.221
Sb1 0.500 0.500 0.727
Ir1 0.000 0.000 0.469

Output
Raw formation energy   5.4 kcal/mol of atoms
Space group   Pmm2, No. 25

# 4
First-principles (meta-GGA SCAN) data for a crystal of TcSb2Ir relaxed with PBEsol, as listed in Alexandria.

a = 4.686 Å, b = 4.686 Å, c = 4.686 Å
α = 60.00°, β = 60.00°, γ = 60.00°
Fractional positions:
Tc1 0.000 0.000 0.000
Sb1 0.500 0.500 0.500
Sb2 0.750 0.750 0.750
Ir1 0.250 0.250 0.250

Output
Raw formation energy   19.4 kcal/mol of atoms
Space group   F-43m, No. 216
E above lowest polymorph   504 meV/atom

# 5
First-principles (meta-GGA SCAN) data for a crystal of TcSb2Ir relaxed with PBEsol, as listed in Alexandria.

a = 10.237 Å, b = 10.237 Å, c = 10.237 Å
α = 16.97°, β = 16.97°, γ = 16.97°
Fractional positions:
Tc1 0.000 0.000 0.000
Sb1 0.262 0.262 0.262
Sb2 0.473 0.473 0.473
Ir1 0.733 0.733 0.733

Output
Raw formation energy   8.2 kcal/mol of atoms
Space group   R3m, No. 160
E above lowest polymorph   17 meV/atom

# 6
First-principles (meta-GGA SCAN) data for a crystal of Tc2SbIr relaxed with PBEsol, as listed in Alexandria.

a = 4.547 Å, b = 4.547 Å, c = 2.976 Å
α = 90.00°, β = 90.00°, γ = 90.00°
Fractional positions:
Tc1 0.000 0.500 0.000
Tc2 0.500 0.000 0.000
Sb1 0.000 0.000 0.500
Ir1 0.500 0.500 0.500

Output
Raw formation energy   6.0 kcal/mol of atoms
Space group   P4/mmm, No. 123

# 7
First-principles (meta-GGA SCAN) data for a crystal of Sb2TeIr relaxed with PBEsol, as listed in Alexandria.

a = 3.087 Å, b = 3.263 Å, c = 9.146 Å
α = 90.00°, β = 90.00°, γ = 90.00°
Fractional positions:
Sb1 0.000 0.000 0.000
Sb2 0.500 0.500 0.306
Te1 0.500 0.500 0.683
Ir1 0.000 0.000 0.492

Output
Raw formation energy   6.2 kcal/mol of atoms
Space group   Pmm2, No. 25

# 8
First-principles (meta-GGA SCAN) data for a crystal of Sb2TeIr relaxed with PBEsol, as listed in Alexandria.

a = 5.127 Å, b = 5.127 Å, c = 3.302 Å
α = 90.00°, β = 90.00°, γ = 90.00°
Fractional positions:
Sb1 0.000 0.500 0.000
Sb2 0.500 0.000 0.000
Te1 0.000 0.000 0.500
Ir1 0.500 0.500 0.500

Output
Raw formation energy   15.0 kcal/mol of atoms
Space group   P4/mmm, No. 123

# 9
First-principles (meta-GGA SCAN) data for a crystal of SbTe2Ir relaxed with PBEsol, as listed in Alexandria.

a = 3.181 Å, b = 3.181 Å, c = 9.217 Å
α = 90.00°, β = 90.00°, γ = 90.00°
Fractional positions:
Sb1 0.000 0.000 0.000
Te1 0.500 0.500 0.312
Te2 0.500 0.500 0.688
Ir1 0.000 0.000 0.500

Output
Raw formation energy   8.4 kcal/mol of atoms
Space group   P4/mmm, No. 123

# 10
First-principles (meta-GGA SCAN) data for a crystal of Sb2TeIr relaxed with PBEsol, as listed in Alexandria.

a = 3.677 Å, b = 7.499 Å, c = 7.499 Å
α = 27.86°, β = 90.00°, γ = 90.00°
Fractional positions:
Sb1 0.000 0.000 0.000
Sb2 0.500 0.370 0.370
Te1 0.000 0.694 0.694
Ir1 0.500 0.564 0.564

Output
Raw formation energy   2.4 kcal/mol of atoms
Space group   Amm2, No. 38

# 11
First-principles (meta-GGA SCAN) data for a crystal of Ti3SbIr relaxed with PBEsol, as listed in Alexandria.

a = 4.708 Å, b = 4.708 Å, c = 4.708 Å
α = 90.00°, β = 90.00°, γ = 90.00°
Fractional positions:
Ti1 0.000 0.000 0.500
Ti2 0.000 0.500 0.000
Ti3 0.500 0.000 0.000
Sb1 0.500 0.500 0.500
Ir1 0.000 0.000 0.000

Output
Raw formation energy   -3.0 kcal/mol of atoms
Space group   Pm-3m, No. 221

# 12
First-principles (meta-GGA SCAN) data for a crystal of TlSb2Ir2 relaxed with PBEsol, as listed in Alexandria.

a = 7.574 Å, b = 7.574 Å, c = 7.574 Å
α = 148.59°, β = 148.59°, γ = 45.02°
Fractional positions:
Tl1 0.000 0.000 0.000
Sb1 0.364 0.364 0.000
Sb2 0.636 0.636 0.000
Ir1 0.250 0.750 0.500
Ir2 0.750 0.250 0.500

Output
Raw formation energy   -2.2 kcal/mol of atoms
Space group   I4/mmm, No. 139